Compound: Cu4Ag
Source: the Open Quantum Materials Database
Functional: PBE-GGA
Structure: relaxed

Computed properties:
formation enthalpy at 0 K = 1.65 kcal/mol of atoms
electronic total energy = -34.67 eV/cell

Unit cell a=7.005 b=7.005 c=4.581 alpha=96.21 beta=96.21 gamma=141.99
Sites, in units of the cell vectors:
Cu (0.054, 0.946, 0.750)
Cu (0.154, 0.846, 0.250)
Cu (0.244, 0.756, 0.750)
Cu (0.342, 0.658, 0.250)
Cu (0.658, 0.342, 0.750)
Cu (0.756, 0.244, 0.250)
Cu (0.846, 0.154, 0.750)
Cu (0.946, 0.054, 0.250)
Ag (0.445, 0.555, 0.750)
Ag (0.555, 0.445, 0.250)

Compound: RbEr2
Source: the Open Quantum Materials Database
Functional: PBE-GGA
Structure: relaxed

Computed properties:
size of the total moment = 1.04 μB/f.u.
electronic total energy = -5.87 eV/cell

Unit cell a=5.638 b=5.638 c=5.638 alpha=60.00 beta=60.00 gamma=60.00
Sites, in units of the cell vectors:
Rb (0.000, 0.000, 0.000)
Er (0.250, 0.250, 0.250)
Er (0.750, 0.750, 0.750)

What is the electronic total energy in the second record?
-5.87 eV/cell